## HoHfHgPd (GGA-PBE)

Data for an optimized crystal structure of HoHfHgPd.

Lattice parameters (Å, degrees): 4.9533 4.9533 4.9533 60.00 60.00 60.00
With the nearest neighbours (Å) after each atom.
Fractional positions:
Ho: 0.0000 0.0000 0.0000  4 Hg 3.03, 4 Pd 3.03
Hf: 0.5000 0.5000 0.5000  4 Hg 3.03, 4 Pd 3.03
Hg: 0.2500 0.2500 0.2500  4 Hf 3.03, 4 Ho 3.03
Pd: 0.7500 0.7500 0.7500  4 Hf 3.03, 4 Ho 3.03

Properties
Volume in Å³/atom: 21.48
E_form in eV per atom: -0.384


## HoHfHgPt (GGA-PBE)

Data for an optimized crystal structure of HoHfHgPt.

Lattice parameters (Å, degrees): 4.9383 4.9383 4.9383 60.00 60.00 60.00
With the nearest neighbours (Å) after each atom.
Fractional positions:
Ho: 0.0000 0.0000 0.0000  4 Hg 3.02, 4 Pt 3.02
Hf: 0.5000 0.5000 0.5000  4 Hg 3.02, 4 Pt 3.02
Hg: 0.7500 0.7500 0.7500  4 Hf 3.02, 4 Ho 3.02
Pt: 0.2500 0.2500 0.2500  4 Hf 3.02, 4 Ho 3.02

Properties
Volume in Å³/atom: 21.29
E_form in eV per atom: -0.566


## HoHfHgRh (GGA-PBE)

Data for an optimized crystal structure of HoHfHgRh.

Lattice parameters (Å, degrees): 4.9047 4.9047 4.9047 60.00 60.00 60.00
With the nearest neighbours (Å) after each atom.
Fractional positions:
Ho: 0.0000 0.0000 0.0000  4 Hg 3.00, 4 Rh 3.00
Hf: 0.5000 0.5000 0.5000  4 Hg 3.00, 4 Rh 3.00
Hg: 0.2500 0.2500 0.2500  4 Hf 3.00, 4 Ho 3.00
Rh: 0.7500 0.7500 0.7500  4 Hf 3.00, 4 Ho 3.00

Properties
Volume in Å³/atom: 20.86
E_form in eV per atom: -0.417


## HoHfTlHg (GGA-PBE)

Data for an optimized crystal structure of HoHfTlHg.

Lattice parameters (Å, degrees): 5.1280 5.1280 5.1280 60.00 60.00 60.00
With the nearest neighbours (Å) after each atom.
Fractional positions:
Ho: 0.0000 0.0000 0.0000  4 Hg 3.14, 4 Tl 3.14
Hf: 0.5000 0.5000 0.5000  4 Hg 3.14, 4 Tl 3.14
Tl: 0.2500 0.2500 0.2500  4 Hf 3.14, 4 Ho 3.14
Hg: 0.7500 0.7500 0.7500  4 Hf 3.14, 4 Ho 3.14

Properties
Volume in Å³/atom: 23.84
E_form in eV per atom: -0.097


## HoHfZnHg (GGA-PBE)

Data for an optimized crystal structure of HoHfZnHg.

Lattice parameters (Å, degrees): 4.9803 4.9803 4.9803 60.00 60.00 60.00
With the nearest neighbours (Å) after each atom.
Fractional positions:
Ho: 0.0000 0.0000 0.0000  4 Zn 3.05, 4 Hg 3.05
Hf: 0.5000 0.5000 0.5000  4 Hg 3.05, 4 Zn 3.05
Zn: 0.7500 0.7500 0.7500  4 Hf 3.05, 4 Ho 3.05
Hg: 0.2500 0.2500 0.2500  4 Hf 3.05, 4 Ho 3.05

Properties
Volume in Å³/atom: 21.84
E_form in eV per atom: -0.152


## Hf2Hg2I (GGA-PBE)

Data for an optimized crystal structure of Hf2Hg2I.

Lattice parameters (Å, degrees): 7.5325 7.5325 4.2526 90.00 90.00 90.00
With the nearest neighbours (Å) after each atom.
Fractional positions:
Hf: 0.1436 0.3564 0.0000  2 I 2.89, 6 Hg 3.04-3.08, 1 Hf 3.06
Hf: 0.3564 0.8564 0.0000  2 I 2.89, 6 Hg 3.04-3.08, 1 Hf 3.06
Hf: 0.6436 0.1436 0.0000  2 I 2.89, 6 Hg 3.04-3.08, 1 Hf 3.06
Hf: 0.8564 0.6436 0.0000  2 I 2.89, 6 Hg 3.04-3.08, 1 Hf 3.06
Hg: 0.1530 0.6530 0.5000  6 Hf 3.04-3.08, 1 Hg 3.26
Hg: 0.3470 0.1530 0.5000  6 Hf 3.04-3.08, 1 Hg 3.26
Hg: 0.6530 0.8470 0.5000  6 Hf 3.04-3.08, 1 Hg 3.26
Hg: 0.8470 0.3470 0.5000  6 Hf 3.04-3.08, 1 Hg 3.26
I: 0.0000 0.0000 0.0000  4 Hf 2.89
I: 0.5000 0.5000 0.0000  4 Hf 2.89

Properties
Raw formation energy in eV per atom: 0.08
Volume in Å³/atom: 24.13


## Hf2HgI8 (GGA-PBE)

Data for an optimized crystal structure of Hf2HgI8.

Lattice parameters (Å, degrees): 8.2275 8.2275 9.9282 105.24 105.24 60.85
With the nearest neighbours (Å) after each atom.
Fractional positions:
Hf: 0.2502 0.2502 0.0004  6 I 2.76-2.93
Hf: 0.7498 0.7498 0.9996  6 I 2.76-2.93
Hg: 0.0000 0.0000 0.5000  8 I 4.12-4.41
I: 0.1433 0.6466 0.1248  2 Hf 2.92-2.93
I: 0.1925 0.1925 0.2416  1 Hf 2.76
I: 0.3125 0.3125 0.7630  1 Hf 2.76
I: 0.3534 0.8567 0.8752  2 Hf 2.92-2.93
I: 0.6466 0.1433 0.1248  2 Hf 2.92-2.93
I: 0.6875 0.6875 0.2370  1 Hf 2.76
I: 0.8075 0.8075 0.7584  1 Hf 2.76
I: 0.8567 0.3534 0.8752  2 Hf 2.92-2.93

Properties
Raw formation energy in eV per atom: -0.74
Volume in Å³/atom: 50.82


## Hf2HgI (GGA-PBE)

Data for an optimized crystal structure of Hf2HgI.

Lattice parameters (Å, degrees): 10.9029 10.9029 10.9029 156.50 156.50 33.47
With the nearest neighbours (Å) after each atom.
Fractional positions:
Hf: 0.1191 0.6250 0.9941  2 Hg 3.04, 2 I 3.06, 4 Hf 3.10-3.18
Hf: 0.3750 0.3691 0.4941  2 Hg 3.04, 2 I 3.06, 4 Hf 3.10-3.18
Hf: 0.6309 0.1250 0.0059  2 Hg 3.04, 2 I 3.06, 4 Hf 3.10-3.18
Hf: 0.8750 0.8809 0.5059  2 Hg 3.04, 2 I 3.06, 4 Hf 3.10-3.18
Hg: 0.0000 0.0000 0.0000  4 Hf 3.04, 4 I 3.14
Hg: 0.7500 0.2500 0.5000  4 Hf 3.04, 4 I 3.14
I: 0.2500 0.7500 0.5000  4 Hf 3.06, 4 Hg 3.14
I: 0.5000 0.5000 0.0000  4 Hf 3.06, 4 Hg 3.14

Properties
Offset from the most stable computed form in meV/atom: 214
Raw formation energy in eV per atom: 0.45
Volume in Å³/atom: 25.73


## HfHgI2 (GGA-PBE)

Data for an optimized crystal structure of HfHgI2.

Lattice parameters (Å, degrees): 5.3748 5.3748 5.3748 60.00 60.00 60.00
With the nearest neighbours (Å) after each atom.
Fractional positions:
Hf: 0.0000 0.0000 0.0000  8 I 3.29
Hg: 0.5000 0.5000 0.5000  8 I 3.29
I: 0.2500 0.2500 0.2500  4 Hf 3.29, 4 Hg 3.29
I: 0.7500 0.7500 0.7500  4 Hg 3.29, 4 Hf 3.29

Properties
Offset from the most stable computed form in meV/atom: 376
Raw formation energy in eV per atom: 0.23
Volume in Å³/atom: 27.45


## HfHg2I (GGA-PBE)

Data for an optimized crystal structure of HfHg2I.

Lattice parameters (Å, degrees): 5.3375 5.3375 5.3375 60.00 60.00 60.00
With the nearest neighbours (Å) after each atom.
Fractional positions:
Hf: 0.0000 0.0000 0.0000  8 Hg 3.27
Hg: 0.2500 0.2500 0.2500  4 Hf 3.27, 4 I 3.27
Hg: 0.7500 0.7500 0.7500  4 Hf 3.27, 4 I 3.27
I: 0.5000 0.5000 0.5000  8 Hg 3.27

Properties
Offset from the most stable computed form in meV/atom: 353
Raw formation energy in eV per atom: 0.61
Volume in Å³/atom: 26.88


## HfHg2I (GGA-PBE)

Data for an optimized crystal structure of HfHg2I.

Lattice parameters (Å, degrees): 7.1807 7.1807 7.1807 99.00 99.00 133.39
With the nearest neighbours (Å) after each atom.
Fractional positions:
Hf: 0.0000 0.0000 0.0000  2 I 2.84, 4 Hg 2.90
Hf: 0.7500 0.2500 0.5000  2 I 2.84, 4 Hg 2.90
Hg: 0.0442 0.6250 0.9192  2 Hf 2.90, 2 Hg 3.22
Hg: 0.3750 0.2942 0.4192  2 Hf 2.90, 2 Hg 3.22
Hg: 0.7058 0.1250 0.0808  2 Hf 2.90, 2 Hg 3.22
Hg: 0.8750 0.9558 0.5808  2 Hf 2.90, 2 Hg 3.22
I: 0.2500 0.7500 0.5000  2 Hf 2.84
I: 0.5000 0.5000 0.0000  2 Hf 2.84

Properties
Offset from the most stable computed form in meV/atom: 0
Raw formation energy in eV per atom: 0.26
Volume in Å³/atom: 30.89


## HfHg2I4 (GGA-PBE)

Data for an optimized crystal structure of HfHg2I4.

Lattice parameters (Å, degrees): 10.7717 10.7717 18.3860 106.69 106.69 59.36
With the nearest neighbours (Å) after each atom.
Fractional positions:
Hf: 0.0569 0.5670 0.6872  4 I 2.67
Hf: 0.4330 0.9431 0.8128  4 I 2.67
Hf: 0.5670 0.0569 0.1872  4 I 2.67
Hf: 0.9431 0.4330 0.3128  4 I 2.67
Hg: 0.0000 0.0000 0.0000  6 I 4.16-4.24
Hg: 0.0000 0.0000 0.5000  6 I 4.16-4.24
Hg: 0.0000 0.5000 0.0000  6 I 4.10-4.15
Hg: 0.2631 0.7369 0.2500  6 I 4.16-4.20
Hg: 0.5000 0.0000 0.5000  6 I 4.10-4.15
Hg: 0.5000 0.5000 0.0000  6 I 4.13-4.14
Hg: 0.5000 0.5000 0.5000  6 I 4.13-4.14
Hg: 0.7369 0.2631 0.7500  6 I 4.16-4.20
I: 0.0971 0.5818 0.3617  1 Hf 2.67
I: 0.0986 0.1752 0.3618  1 Hf 2.67
I: 0.1164 0.6125 0.8412  1 Hf 2.67
I: 0.1752 0.0986 0.8618  1 Hf 2.67
I: 0.3074 0.4123 0.6310  1 Hf 2.67
I: 0.3875 0.8836 0.6588  1 Hf 2.67
I: 0.4123 0.3074 0.1310  1 Hf 2.67
I: 0.4182 0.9029 0.1383  1 Hf 2.67
I: 0.5818 0.0971 0.8617  1 Hf 2.67
I: 0.5877 0.6926 0.8690  1 Hf 2.67
I: 0.6125 0.1164 0.3412  1 Hf 2.67
I: 0.6926 0.5877 0.3690  1 Hf 2.67
I: 0.8248 0.9014 0.1382  1 Hf 2.67
I: 0.8836 0.3875 0.1588  1 Hf 2.67
I: 0.9014 0.8248 0.6382  1 Hf 2.67
I: 0.9029 0.4182 0.6383  1 Hf 2.67

Properties
Raw formation energy in eV per atom: -0.57
Volume in Å³/atom: 61.87


## HfHgI3 (GGA-PBE)

Data for an optimized crystal structure of HfHgI3.

Lattice parameters (Å, degrees): 5.8470 5.8470 5.8470 90.00 90.00 90.00
With the nearest neighbours (Å) after each atom.
Fractional positions:
Hf: 0.0000 0.0000 0.0000  12 I 4.13
Hg: 0.5000 0.5000 0.5000  6 I 2.92
I: 0.0000 0.5000 0.5000  2 Hg 2.92
I: 0.5000 0.0000 0.5000  2 Hg 2.92
I: 0.5000 0.5000 0.0000  2 Hg 2.92

Properties
Offset from the most stable computed form in meV/atom: 1146
Raw formation energy in eV per atom: 0.74
Volume in Å³/atom: 39.98


## Hf2HgI (GGA-PBE)

Data for an optimized crystal structure of Hf2HgI.

Lattice parameters (Å, degrees): 5.0122 5.0122 5.0122 60.00 60.00 60.00
With the nearest neighbours (Å) after each atom.
Fractional positions:
Hf: 0.2500 0.2500 0.2500  4 Hg 3.07, 4 I 3.07
Hf: 0.7500 0.7500 0.7500  4 Hg 3.07, 4 I 3.07
Hg: 0.0000 0.0000 0.0000  8 Hf 3.07
I: 0.5000 0.5000 0.5000  8 Hf 3.07

Properties
Offset from the most stable computed form in meV/atom: 0
Raw formation energy in eV per atom: 0.24
Volume in Å³/atom: 22.26